Here is Li3Co4SbO8 after structural relaxation from the Alexandria database. Energies are from PBE with a Hubbard U.

* crystal system: monoclinic
* energy: -92.9 eV per formula unit
* size of the total moment: 0.750 μB/atom

Unit cell a=6.0043 b=6.0043 c=6.1616 alpha=60.00 beta=60.00 gamma=61.57
Fractional coordinates of all 16 atoms:
Li1 0.5000 0.0000 0.0000
Li2 0.0000 0.5000 0.0000
Li3 0.0000 0.0000 0.5000
Co1 0.0000 0.0000 0.0000
Co2 0.0000 0.5000 0.5000
Co3 0.5000 0.0000 0.5000
Co4 0.5000 0.5000 0.5000
Sb1 0.5000 0.5000 0.0000
O1 0.7396 0.7396 0.7558
O2 0.7372 0.2707 0.2293
O3 0.2707 0.7372 0.2293
O4 0.2604 0.2604 0.2442
O5 0.2496 0.2496 0.7317
O6 0.2628 0.7293 0.7707
O7 0.7293 0.2628 0.7707
O8 0.7504 0.7504 0.2683